Material: NaAsRu
Method: DFT, PBE
State: relaxed

Computed properties:
As for the volume: 18.50 A^3/atom. Its crystal system is triclinic. For the size of the total moment, the calculation gives 0.000 μB per atom. Its total energy is -31.344 eV per cell. For the density of states at the Fermi level, the calculation gives 0.10 states/eV/cell.

Structure (POSCAR):
```
NaAsRu
1.0
3.0689 -0.0005 0.0025
0.0005 4.9802 0.0074
-1.5647 0.1210 7.2601
As Ru Na
2 2 2
direct
0.8578 0.1407 0.6628
0.6069 0.6525 0.1531
0.9930 0.4559 0.9290
0.4823 0.0054 0.9081
0.3099 0.6420 0.5706
0.1711 0.1430 0.2797
```

Material: Ho2GaGe3Pt4
Method: DFT, PBE
State: relaxed

Computed properties:
As for the volume: 18.66 A^3/atom. Its crystal system is tetragonal. For the size of the total moment, the calculation gives 0.000 μB per atom. Its total energy is -59.173 eV per cell. For the density of states at the Fermi level, the calculation gives 5.45 states/eV/cell.

Structure (POSCAR):
```
Ho2GaGe3Pt4
1.0
-0.7886 -3.5155 2.2729
2.9703 1.1600 2.8247
-7.1216 5.0882 5.3993
Ho Ge Pt Ga
2 3 4 1
direct
0.0000 0.5000 0.7485
0.5000 0.0000 0.2515
0.5000 0.0000 0.8673
0.0000 0.0000 0.5000
0.0000 0.5000 0.1327
0.5000 0.0000 0.6328
0.0000 0.5000 0.3672
0.0000 0.0000 0.0000
0.5000 0.5000 0.0000
0.5000 0.5000 0.5000
```